Model i:
12
Lattice="2.889 -5.729 0.000 2.889 5.729 0.000 -0.013 0.000 7.355" Properties=species:S:1:pos:R:3 comment="PBE NaBeAu4, relaxed" magmom_total_mub_per_fu=0.0 rho_g_cm3=11.184 pbc="T T T"
Na 2.879 5.050 5.517
Na 2.886 -5.050 1.839
Be 2.879 0.502 5.517
Be 2.886 -0.502 1.839
Au 1.367 2.289 5.513
Au 2.886 1.354 0.415
Au 2.885 1.354 3.263
Au 1.374 -2.289 1.836
Au 4.391 2.289 5.520
Au 2.879 -1.354 4.092
Au 2.879 -1.354 6.941
Au 4.397 -2.289 1.842

Model ii:
12
Lattice="6.636 -3.495 0.000 6.636 3.495 0.000 -0.399 0.000 5.038" Properties=species:S:1:pos:R:3 comment="PBE NaBeAu4, relaxed" magmom_total_mub_per_fu=0.0 rho_g_cm3=11.651 pbc="T T T"
Na 6.336 2.187 3.779
Na 6.536 -2.187 1.260
Be 3.318 1.748 0.000
Be 3.118 -1.748 2.519
Au 2.472 0.530 2.984
Au 2.672 -0.530 0.465
Au 5.185 0.749 1.122
Au 7.887 0.749 1.397
Au 4.985 -0.749 3.641
Au 7.688 -0.749 3.916
Au 10.201 0.530 4.574
Au 10.400 -0.530 2.055

Of them, model i has the highest stability.

Model i:
5
Lattice="4.204 0.000 0.000 0.000 4.204 0.000 0.000 0.000 4.204" Properties=species:S:1:pos:R:3 comment="PBE Be3NbAu, relaxed" magmom_total_mub_per_fu=0.0 rho_g_cm3=7.081 pbc="T T T"
Be 0.000 0.000 2.102
Be 0.000 2.102 0.000
Be 2.102 0.000 0.000
Nb 2.102 2.102 2.102
Au 0.000 0.000 0.000

Model ii:
5
Lattice="4.347 0.000 0.000 0.000 4.347 0.000 0.000 0.000 4.347" Properties=species:S:1:pos:R:3 comment="PBE Be3NbAu, relaxed" magmom_total_mub_per_fu=0.0 rho_g_cm3=6.405 pbc="T T T"
Be 0.000 0.000 2.174
Be 0.000 2.174 0.000
Be 2.174 0.000 0.000
Nb 0.000 0.000 0.000
Au 2.174 2.174 2.174

Model iii:
10
Lattice="1.559 -10.565 0.000 1.559 10.565 0.000 0.000 0.000 3.667" Properties=species:S:1:pos:R:3 comment="PBE Be3NbAu, relaxed" magmom_total_mub_per_fu=0.0 rho_g_cm3=8.713 pbc="T T T"
Be 1.559 10.063 2.750
Be 1.559 8.012 2.750
Be 1.559 6.851 0.917
Be 1.559 -6.851 2.750
Be 1.559 -8.012 0.917
Be 1.559 -10.063 0.917
Nb 1.559 1.547 2.750
Nb 1.559 -1.547 0.917
Au 1.559 4.362 0.917
Au 1.559 -4.362 2.750

Of them, model iii has the highest stability.